This record from the Alexandria database describes Eu3FeO6 after structural relaxation. The functional is PBE+U.

Output
Space group: Cmc2_1, No. 36
Raw total energy: -180.32 eV per cell

```
Eu3FeO6
1.0
-1.2282 -6.7065 2.8280
-0.4771 -1.1448 -7.2764
5.4521 -1.0777 -0.1879
Eu Fe O
6 2 12
Cartesian
-0.9026 -4.8809 -4.1744
-0.2451 -1.8535 -2.4592
2.3195 -3.5877 -0.3816
1.6620 -6.6150 -2.0968
4.8925 -2.8139 -6.3889
1.5753 -6.6530 1.6588
2.4273 -3.4779 -4.2718
-0.5871 -5.0743 -0.2987
1.1866 -1.6329 -0.6137
0.0283 -6.9657 -3.6351
2.7767 -7.3389 -4.0300
3.9350 -2.0061 -1.0086
0.5786 -4.4500 1.0820
0.0516 -6.8762 -0.2926
3.1740 -4.4802 -5.7185
3.7010 -2.0540 -4.3438
0.3424 -4.4116 -1.8247
3.1342 -4.4641 -2.8022
0.5899 -3.0000 -4.4110
2.9974 -5.8975 -0.2198
```

---

This record from the Alexandria database describes SrEu2Fe2O7 after structural relaxation. The functional is PBE+U.

Output
Space group: P4_2/mnm, No. 136
Energy above the most stable polymorph in this dataset: 0 meV/atom

```
SrEu2Fe2O7
1.0
-3.9547 3.7678 -1.0900
-3.9059 -3.9245 0.6057
-1.2859 4.2865 19.4827
Sr Eu Fe O
4 8 8 28
Cartesian
-4.5613 0.1754 9.9157
-5.9297 -0.1182 -0.3654
-4.5852 3.9545 9.0826
-1.9309 -0.0385 -0.1190
-4.3259 -0.5002 6.3138
-4.7981 1.0740 13.4685
-4.8206 4.6301 12.6846
-6.2798 0.6666 3.2050
-2.0531 0.7509 3.4654
-4.3484 3.0559 5.5299
-7.0934 3.3790 15.5329
-2.8667 3.4632 15.7934
-2.4494 1.6821 7.7013
-5.0774 1.8937 17.7366
-5.1014 5.6774 16.9025
-2.7030 2.5274 11.5431
-6.6971 2.4478 11.2970
-4.0451 -1.5475 2.0958
-4.0691 2.2362 1.2617
-6.4435 1.6025 7.4552
-5.9259 1.1593 5.4297
-4.4576 1.6794 7.7468
-3.9408 1.5677 -0.6050
-4.9685 5.6008 14.7710
-4.0839 0.4336 2.0847
-4.1780 -1.4709 4.2273
-4.9398 1.0687 15.7700
-4.6889 2.4505 11.2515
-3.9199 -1.7244 0.1207
-3.1051 1.8787 17.7601
-0.7965 2.6552 12.0682
-2.3250 2.1097 9.6377
-0.1157 0.3855 1.7523
-1.1702 3.9010 17.7303
-2.7540 4.4728 11.2217
-4.2067 3.0612 3.2283
-3.2206 2.9706 13.5686
-2.7296 0.6267 12.0696
-2.6965 1.2237 5.6287
-2.1110 2.3295 1.4804
-5.0626 3.6962 16.9136
-2.4866 3.5815 7.1709
-0.4894 1.6313 7.4145
-2.0866 -1.5166 2.3282
-6.4500 2.9062 13.3696
-6.8215 2.0201 9.3606
-2.4622 -0.2646 8.0187
-3.1295 5.7248 16.9122
```

---

This record from the Alexandria database describes Sr2EuFeO5 after structural relaxation. The functional is PBE+U.

Output
Space group: Fmmm, No. 69
Raw total energy: -130.79 eV per cell

```
Sr2EuFeO5
1.0
-3.0987 -6.7905 -0.6265
-7.2684 -1.4304 -1.0400
-1.8931 -1.9808 -6.2275
Sr Eu Fe O
4 2 2 10
Cartesian
-3.0651 -2.5504 -1.9735
-9.1952 -7.6513 -5.9205
-8.1210 -3.9912 -6.1277
-4.1393 -6.2105 -1.7663
-6.5362 -3.7913 -2.9098
-5.7240 -6.4104 -4.9842
-3.9977 -3.5306 -5.0947
-8.2626 -6.6712 -2.7993
-8.2096 -5.4972 -4.2608
-6.4551 -6.4751 -2.3390
-8.1364 -3.4454 -1.2730
-6.5545 -8.5462 -5.3127
-4.0507 -4.7045 -3.6332
-5.8051 -3.7266 -5.5550
-4.1239 -6.7563 -6.6210
-5.7057 -1.6555 -2.5813
-0.9466 -0.9904 -3.1137
-5.1836 -4.1104 -0.8333
```

---

This record from the Alexandria database describes SrEu2Fe2O7 after structural relaxation. The functional is PBE+U.

Output
Space group: Cmcm, No. 63
Energy above the most stable polymorph in this dataset: 5 meV/atom

```
SrEu2Fe2O7
1.0
2.8114 -10.0096 0.0000
2.8114 10.0096 0.0000
0.0000 0.0000 5.5081
Sr Eu Fe O
2 4 4 14
Cartesian
1.3687 0.0000 1.3770
4.2542 0.0000 4.1311
1.2830 3.6650 1.3770
4.3398 3.6650 4.1311
1.2830 -3.6650 1.3770
4.3398 -3.6650 4.1311
4.1908 -1.9825 1.3770
1.4320 -1.9825 4.1311
4.1908 1.9825 1.3770
1.4320 1.9825 4.1311
3.9451 0.0000 1.3770
1.6777 0.0000 4.1311
2.8114 -2.2888 0.0000
2.8114 -2.2888 2.7541
2.8114 2.2888 2.7541
2.8114 2.2888 0.0000
2.8114 -8.1232 0.0000
2.8114 -8.1232 2.7541
2.8114 8.1232 2.7541
2.8114 8.1232 0.0000
1.7327 5.9259 1.3770
3.8901 5.9259 4.1311
1.7327 -5.9259 1.3770
3.8901 -5.9259 4.1311
```

---

This record from the Alexandria database describes SrTbEuFeO6 after structural relaxation. The functional is PBE+U.

Output
Space group: F-43m, No. 216
Raw total energy: -75.50 eV per cell

```
SrTbEuFeO6
1.0
0.0000 4.0902 4.0902
4.0902 0.0000 4.0902
4.0902 4.0902 0.0000
Sr Tb Eu Fe O
1 1 1 1 6
Cartesian
2.0451 2.0451 2.0451
4.0902 4.0902 4.0902
6.1354 6.1354 6.1354
0.0000 0.0000 0.0000
4.0902 1.9077 4.0902
4.0902 6.2728 4.0902
6.2728 4.0902 4.0902
1.9077 4.0902 4.0902
4.0902 4.0902 1.9077
4.0902 4.0902 6.2728
```

---

This record from the Alexandria database describes Eu2FeWO6 after structural relaxation. The functional is PBE+U.

Output
Space group: Fm-3m, No. 225
Raw total energy: -86.08 eV per cell

```
Eu2FeWO6
1.0
0.0000 4.0036 4.0036
4.0036 0.0000 4.0036
4.0036 4.0036 0.0000
Eu Fe W O
2 1 1 6
Cartesian
2.0018 2.0018 2.0018
6.0054 6.0054 6.0054
0.0000 0.0000 0.0000
4.0036 4.0036 4.0036
4.0036 2.0266 4.0036
4.0036 5.9806 4.0036
4.0036 4.0036 5.9806
4.0036 4.0036 2.0266
5.9806 4.0036 4.0036
2.0266 4.0036 4.0036
```